## TbSmIr (GGA-PBE)

Data for crystalline TbSmIr at its relaxed geometry.

As for the relative energy among the computed polymorphs: 41 meV/atom. The formation energy comes out at -1.8 eV per formula unit. For the uncorrected energy, the calculation gives -6.6551 eV/atom.

It has space group Cm (No. 8), with a = 13.830 Å, b = 3.824 Å, c = 7.000 Å, α = 90.00°, β = 115.43° and γ = 90.00°. The asymmetric unit holds Tb at (0.000, 0.000, 0.000), Tb at (0.202, 0.500, 0.519), Sm at (0.266, 0.000, 0.997), Sm at (0.466, 0.500, 0.501), Ir at (0.100, 0.500, 0.813) and Ir at (0.365, 0.000, 0.695).